# YCrS2

A relaxed YCrS2 crystal (PBE, Alexandria).

Cell: 7.496 7.496 7.496 Å, 135.82 135.82 64.25°
Element x y z (fractional)
Y1 0.000 0.000 0.000
Y2 0.750 0.250 0.500
Cr1 0.250 0.750 0.500
Cr2 0.500 0.500 0.000
S1 0.151 0.625 0.026
S2 0.375 0.401 0.526
S3 0.599 0.125 0.974
S4 0.875 0.849 0.474

Properties
- Total moment: 10.0 μB per cell
- DFT total energy: -7.1281 eV/atom
- Excess energy over the best structure of this formula in the dataset: 9.6 meV/atom
- Space-group type: I-42d (122)
- Density: 3.37 Mg/m³
- E_form (uncorrected): -100.59 kJ/mol of atoms